(1)
The following is a DFT calculation (PBEsol) of an optimized crystal structure of TePtN2F.

Results
V ... 13.46 Å³ per atom
Uncorrected formation energy ... 6.07 eV/f.u.
Total magnetic moment ... 0.0002 μB/atom
Symmetry ... No. 123
Mass density ... 9.12 g/cm3

Cell: 4.013 4.096 4.096 Å, 90.00 90.00 90.00°
Positions (direct):
1 N 0.000 0.000 0.500
2 N 0.000 0.500 0.000
3 Te 0.000 0.000 0.000
4 Pt 0.500 0.500 0.500
5 F 0.500 0.000 0.000

---

(2)
The following is a DFT calculation (PBEsol) of an optimized crystal structure of TiPtNF2.

Results
V ... 11.78 Å³ per atom
Uncorrected formation energy ... -4.78 eV/f.u.
Total magnetic moment ... 0.0002 μB/atom
Symmetry ... No. 123
Mass density ... 8.32 g/cm3

Cell: 3.774 3.774 4.134 Å, 90.00 90.00 90.00°
Positions (direct):
1 N 0.000 0.000 0.500
2 F 0.000 0.500 0.000
3 F 0.500 0.000 0.000
4 Pt 0.500 0.500 0.500
5 Ti 0.000 0.000 0.000

---

(3)
The following is a DFT calculation (PBEsol) of an optimized crystal structure of RbN2F2.

Results
V ... 18.10 Å³ per atom
Uncorrected formation energy ... 4.56 eV/f.u.
Total magnetic moment ... 0.8854 μB/atom
Symmetry ... No. 123
Mass density ... 2.78 g/cm3

Cell: 3.840 3.840 6.137 Å, 90.00 90.00 90.00°
Site moments in Bohr magnetons follow the coordinates.
Positions (direct):
1 N 0.000 0.500 0.000  1.48
2 N 0.500 0.000 0.000  1.48
3 Rb 0.500 0.500 0.500  0.01
4 F 0.000 0.000 0.000  0.01
5 F 0.000 0.000 0.500  0.12

---

(4)
The following is a DFT calculation (PBEsol) of an optimized crystal structure of Rb3NF.

Results
V ... 28.40 Å³ per atom
Uncorrected formation energy ... -2.26 eV/f.u.
Total magnetic moment ... 0.2000 μB/atom
Symmetry ... No. 221
Mass density ... 3.38 g/cm3

Cell: 5.217 5.217 5.217 Å, 90.00 90.00 90.00°
Site moments in Bohr magnetons follow the coordinates.
Positions (direct):
1 N 0.500 0.500 0.500  0.73
2 Rb 0.000 0.500 0.000  -0.01
3 Rb 0.000 0.000 0.500  -0.01
4 Rb 0.500 0.000 0.000  -0.01
5 F 0.000 0.000 0.000  0.00

---

(5)
The following is a DFT calculation (PBEsol) of an optimized crystal structure of RbRhN2F.

Results
V ... 19.02 Å³ per atom
Uncorrected formation energy ... 12.20 eV/f.u.
Total magnetic moment ... 1.0658 μB/atom
Symmetry ... No. 123
Mass density ... 4.11 g/cm3

Cell: 4.503 4.503 4.692 Å, 90.00 90.00 90.00°
Site moments in Bohr magnetons follow the coordinates.
Positions (direct):
1 N 0.000 0.500 0.000  1.08
2 N 0.500 0.000 0.000  1.08
3 Rh 0.500 0.500 0.500  1.97
4 Rb 0.000 0.000 0.000  0.08
5 F 0.000 0.000 0.500  0.12

---

(6)
The following is a DFT calculation (PBEsol) of an optimized crystal structure of RbSN2F.

Results
V ... 35.27 Å³ per atom
Uncorrected formation energy ... 9.44 eV/f.u.
Total magnetic moment ... 1.6023 μB/atom
Symmetry ... No. 123
Mass density ... 1.55 g/cm3

Cell: 5.025 5.924 5.924 Å, 90.00 90.00 90.00°
Site moments in Bohr magnetons follow the coordinates.
Positions (direct):
1 S 0.500 0.500 0.500  1.14
2 N 0.000 0.000 0.500  1.90
3 N 0.000 0.500 0.000  1.90
4 Rb 0.000 0.000 0.000  0.04
5 F 0.500 0.000 0.000  0.15

---

(7)
The following is a DFT calculation (PBEsol) of an optimized crystal structure of RbSeN2F.

Results
V ... 14.42 Å³ per atom
Uncorrected formation energy ... 1.09 eV/f.u.
Total magnetic moment ... 0.0000 μB/atom
Symmetry ... No. 123
Mass density ... 4.87 g/cm3

Cell: 3.762 3.762 5.093 Å, 90.00 90.00 90.00°
Positions (direct):
1 N 0.000 0.500 0.000
2 N 0.500 0.000 0.000
3 Se 0.000 0.000 0.000
4 Rb 0.500 0.500 0.500
5 F 0.000 0.000 0.500

---

(8)
The following is a DFT calculation (PBEsol) of an optimized crystal structure of RbSiN2F.

Results
ΔE to the lowest computed polymorph ... 256.9 kJ/mol of atoms
V ... 18.76 Å³ per atom
Uncorrected formation energy ... 10.02 eV/f.u.
Total magnetic moment ... 0.4646 μB/atom
Symmetry ... No. 123
Mass density ... 2.84 g/cm3

Cell: 4.475 4.475 4.686 Å, 90.00 90.00 90.00°
Site moments in Bohr magnetons follow the coordinates.
Positions (direct):
1 Si 0.500 0.500 0.500  -0.12
2 N 0.000 0.500 0.000  0.91
3 N 0.500 0.000 0.000  0.91
4 Rb 0.000 0.000 0.000  0.09
5 F 0.000 0.000 0.500  0.01

---

(9)
The following is a DFT calculation (PBEsol) of an optimized crystal structure of RbSiN2F.

Results
ΔE to the lowest computed polymorph ... 0.0 kJ/mol of atoms
V ... 12.48 Å³ per atom
Uncorrected formation energy ... -3.29 eV/f.u.
Total magnetic moment ... 0.0002 μB/atom
Symmetry ... No. 123
Mass density ... 4.27 g/cm3

Cell: 3.527 3.527 5.016 Å, 90.00 90.00 90.00°
Positions (direct):
1 Si 0.000 0.000 0.000
2 N 0.000 0.500 0.000
3 N 0.500 0.000 0.000
4 Rb 0.500 0.500 0.500
5 F 0.000 0.000 0.500

---

(10)
The following is a DFT calculation (PBEsol) of an optimized crystal structure of RbSiNF2.

Results
V ... 23.51 Å³ per atom
Uncorrected formation energy ... 2.98 eV/f.u.
Total magnetic moment ... 0.4052 μB/atom
Symmetry ... No. 123
Mass density ... 2.34 g/cm3

Cell: 4.812 4.812 5.078 Å, 90.00 90.00 90.00°
Site moments in Bohr magnetons follow the coordinates.
Positions (direct):
1 Si 0.500 0.500 0.500  -0.20
2 N 0.000 0.000 0.500  1.61
3 Rb 0.000 0.000 0.000  0.10
4 F 0.000 0.500 0.000  0.07
5 F 0.500 0.000 0.000  0.07

---

(11)
The following is a DFT calculation (PBEsol) of an optimized crystal structure of RbTaN2F.

Results
V ... 14.28 Å³ per atom
Uncorrected formation energy ... -5.52 eV/f.u.
Total magnetic moment ... 0.0173 μB/atom
Symmetry ... No. 123
Mass density ... 7.29 g/cm3

Cell: 4.053 4.053 4.347 Å, 90.00 90.00 90.00°
Positions (direct):
1 N 0.000 0.500 0.000
2 N 0.500 0.000 0.000
3 F 0.000 0.000 0.500
4 Rb 0.500 0.500 0.500
5 Ta 0.000 0.000 0.000

---

(12)
The following is a DFT calculation (PBEsol) of an optimized crystal structure of RbTeN2F.

Results
ΔE to the lowest computed polymorph ... 126.6 kJ/mol of atoms
V ... 23.79 Å³ per atom
Uncorrected formation energy ... 6.44 eV/f.u.
Total magnetic moment ... 1.1432 μB/atom
Symmetry ... No. 123
Mass density ... 3.63 g/cm3

Cell: 4.287 5.268 5.268 Å, 90.00 90.00 90.00°
Site moments in Bohr magnetons follow the coordinates.
Positions (direct):
1 N 0.000 0.000 0.500  1.72
2 N 0.000 0.500 0.000  1.72
3 Te 0.500 0.000 0.000  0.24
4 Rb 0.500 0.500 0.500  0.01
5 F 0.000 0.000 0.000  0.07